[1]
! Ho4CBr3F2 PBE relaxed; values from VASP
! * total energy: -5.524 eV/atom
&SYSTEM
  ibrav = 0, nat = 10, ntyp = 4
/
ATOMIC_SPECIES
Ho 164.93 Ho.upf
C 12.01 C.upf
Br 79.90 Br.upf
F 19.00 F.upf
ATOMIC_POSITIONS crystal
Ho 0.006 0.006 0.302
Ho 0.344 0.344 0.430
Ho 0.656 0.656 0.570
Ho 0.994 0.994 0.698
C 0.500 0.500 0.500
Br 0.184 0.184 0.835
Br 0.500 0.500 0.000
Br 0.816 0.816 0.165
F 0.178 0.178 0.404
F 0.822 0.822 0.596
CELL_PARAMETERS angstrom
7.700 -1.843 0.000
7.700 1.843 0.000
-1.885 0.000 7.852

[2]
! Ho2Sc2CBr4F PBE relaxed; values from VASP
! * total energy: -5.583 eV/atom
&SYSTEM
  ibrav = 0, nat = 10, ntyp = 5
/
ATOMIC_SPECIES
Ho 164.93 Ho.upf
Sc 44.96 Sc.upf
C 12.01 C.upf
Br 79.90 Br.upf
F 19.00 F.upf
ATOMIC_POSITIONS crystal
Ho 0.001 0.001 0.271
Ho 0.999 0.999 0.729
Sc 0.372 0.372 0.434
Sc 0.628 0.628 0.566
C 0.500 0.500 0.500
Br 0.163 0.163 0.846
Br 0.167 0.167 0.322
Br 0.833 0.833 0.678
Br 0.837 0.837 0.154
F 0.500 0.500 0.000
CELL_PARAMETERS angstrom
8.862 -1.785 0.000
8.862 1.785 0.000
-1.442 0.000 7.111

[3]
! Ho2Sc2CBr3F2 PBE relaxed; values from VASP
! * total energy: -5.898 eV/atom
&SYSTEM
  ibrav = 0, nat = 10, ntyp = 5
/
ATOMIC_SPECIES
Ho 164.93 Ho.upf
Sc 44.96 Sc.upf
C 12.01 C.upf
Br 79.90 Br.upf
F 19.00 F.upf
ATOMIC_POSITIONS crystal
Ho 0.005 0.005 0.302
Ho 0.995 0.995 0.698
Sc 0.343 0.343 0.432
Sc 0.657 0.657 0.568
C 0.500 0.500 0.500
Br 0.198 0.198 0.819
Br 0.500 0.500 0.000
Br 0.802 0.802 0.181
F 0.178 0.178 0.412
F 0.822 0.822 0.588
CELL_PARAMETERS angstrom
7.228 -1.794 0.000
7.228 1.794 0.000
-2.096 0.000 7.896

[4]
! Sm2Ho2CBr4F PBE relaxed; values from VASP
! * total energy: -5.226 eV/atom
&SYSTEM
  ibrav = 0, nat = 10, ntyp = 5
/
ATOMIC_SPECIES
Sm 150.36 Sm.upf
Ho 164.93 Ho.upf
C 12.01 C.upf
Br 79.90 Br.upf
F 19.00 F.upf
ATOMIC_POSITIONS crystal
Sm 0.142 0.142 0.077
Sm 0.858 0.858 0.923
Ho 0.498 0.498 0.221
Ho 0.502 0.502 0.779
C 0.000 0.000 0.000
Br 0.331 0.331 0.197
Br 0.342 0.342 0.631
Br 0.658 0.658 0.369
Br 0.669 0.669 0.803
F 0.000 0.000 0.500
CELL_PARAMETERS angstrom
8.866 -1.843 0.000
8.866 1.843 0.000
-1.573 0.000 7.468

[5]
! Sm2Ho2CBr3F2 PBE relaxed; values from VASP
! * total energy: -5.579 eV/atom
&SYSTEM
  ibrav = 0, nat = 10, ntyp = 5
/
ATOMIC_SPECIES
Sm 150.36 Sm.upf
Ho 164.93 Ho.upf
C 12.01 C.upf
Br 79.90 Br.upf
F 19.00 F.upf
ATOMIC_POSITIONS crystal
Sm 0.145 0.145 0.077
Sm 0.855 0.855 0.923
Ho 0.499 0.499 0.205
Ho 0.501 0.501 0.795
C 0.000 0.000 0.000
Br 0.000 0.000 0.500
Br 0.327 0.327 0.204
Br 0.673 0.673 0.796
F 0.364 0.364 0.731
F 0.636 0.636 0.269
CELL_PARAMETERS angstrom
8.500 -1.853 0.000
8.500 1.853 0.000
-1.296 0.000 7.713

[6]
! Y2Ho2CBrF4 PBE relaxed; values from VASP
! * total energy: -6.462 eV/atom
&SYSTEM
  ibrav = 0, nat = 10, ntyp = 5
/
ATOMIC_SPECIES
Y 88.91 Y.upf
Ho 164.93 Ho.upf
C 12.01 C.upf
Br 79.90 Br.upf
F 19.00 F.upf
ATOMIC_POSITIONS crystal
Y 0.006 0.006 0.210
Y 0.994 0.994 0.790
Ho 0.327 0.327 0.874
Ho 0.673 0.673 0.126
C 0.500 0.500 0.000
Br 0.500 0.500 0.500
F 0.177 0.177 0.930
F 0.192 0.192 0.314
F 0.808 0.808 0.686
F 0.823 0.823 0.070
CELL_PARAMETERS angstrom
7.330 -1.790 0.000
7.330 1.790 0.000
-3.268 0.000 7.174

[7]
! Pr4CI2BrF2 PBE relaxed; values from VASP
! * total energy: -5.473 eV/atom
&SYSTEM
  ibrav = 0, nat = 10, ntyp = 5
/
ATOMIC_SPECIES
Pr 140.91 Pr.upf
C 12.01 C.upf
I 126.90 I.upf
Br 79.90 Br.upf
F 19.00 F.upf
ATOMIC_POSITIONS crystal
Pr 0.002 0.002 0.290
Pr 0.361 0.361 0.435
Pr 0.639 0.639 0.565
Pr 0.998 0.998 0.710
C 0.500 0.500 0.500
I 0.180 0.180 0.276
I 0.820 0.820 0.724
Br 0.500 0.500 0.000
F 0.134 0.134 0.739
F 0.866 0.866 0.261
CELL_PARAMETERS angstrom
9.069 -1.970 0.000
9.069 1.970 0.000
-0.892 0.000 8.192

[8]
! Pr4CIBr2F2 PBE relaxed; values from VASP
! * total energy: -5.545 eV/atom
&SYSTEM
  ibrav = 0, nat = 10, ntyp = 5
/
ATOMIC_SPECIES
Pr 140.91 Pr.upf
C 12.01 C.upf
I 126.90 I.upf
Br 79.90 Br.upf
F 19.00 F.upf
ATOMIC_POSITIONS crystal
Pr 0.003 0.003 0.200
Pr 0.356 0.356 0.923
Pr 0.644 0.644 0.077
Pr 0.997 0.997 0.800
C 0.500 0.500 0.000
I 0.500 0.500 0.500
Br 0.171 0.171 0.828
Br 0.829 0.829 0.172
F 0.146 0.146 0.243
F 0.854 0.854 0.757
CELL_PARAMETERS angstrom
8.884 -1.962 0.000
8.884 1.962 0.000
-1.869 0.000 8.551

[9]
! Sm4C2I2BrF2 PBE relaxed; values from VASP
! * total energy: -5.839 eV/atom
&SYSTEM
  ibrav = 0, nat = 11, ntyp = 5
/
ATOMIC_SPECIES
Sm 150.36 Sm.upf
C 12.01 C.upf
I 126.90 I.upf
Br 79.90 Br.upf
F 19.00 F.upf
ATOMIC_POSITIONS crystal
Sm 0.000 0.000 0.204
Sm 0.000 0.000 0.796
Sm 0.348 0.348 0.887
Sm 0.652 0.652 0.113
C 0.463 0.463 0.979
C 0.537 0.537 0.021
I 0.171 0.171 0.794
I 0.829 0.829 0.206
Br 0.500 0.500 0.500
F 0.142 0.142 0.277
F 0.858 0.858 0.723
CELL_PARAMETERS angstrom
9.617 -1.936 0.000
9.617 1.936 0.000
-1.352 0.000 7.655

[10]
! Sm4CIBr2F2 PBE relaxed; values from VASP
! * total energy: -5.537 eV/atom
&SYSTEM
  ibrav = 0, nat = 10, ntyp = 5
/
ATOMIC_SPECIES
Sm 150.36 Sm.upf
C 12.01 C.upf
I 126.90 I.upf
Br 79.90 Br.upf
F 19.00 F.upf
ATOMIC_POSITIONS crystal
Sm 0.000 0.000 0.197
Sm 0.000 0.000 0.803
Sm 0.357 0.357 0.931
Sm 0.643 0.643 0.069
C 0.500 0.500 0.000
I 0.500 0.500 0.500
Br 0.175 0.175 0.819
Br 0.825 0.825 0.181
F 0.143 0.143 0.234
F 0.857 0.857 0.766
CELL_PARAMETERS angstrom
8.597 -1.917 0.000
8.597 1.917 0.000
-1.367 0.000 8.417

[11]
! Sm4CI2BrF2 PBE relaxed; values from VASP
! * total energy: -5.462 eV/atom
&SYSTEM
  ibrav = 0, nat = 10, ntyp = 5
/
ATOMIC_SPECIES
Sm 150.36 Sm.upf
C 12.01 C.upf
I 126.90 I.upf
Br 79.90 Br.upf
F 19.00 F.upf
ATOMIC_POSITIONS crystal
Sm 0.004 0.004 0.293
Sm 0.362 0.362 0.434
Sm 0.638 0.638 0.566
Sm 0.996 0.996 0.707
C 0.500 0.500 0.500
I 0.182 0.182 0.278
I 0.818 0.818 0.722
Br 0.500 0.500 0.000
F 0.133 0.133 0.739
F 0.867 0.867 0.261
CELL_PARAMETERS angstrom
8.842 -1.923 0.000
8.842 1.923 0.000
-0.664 0.000 8.004

[12]
! La2Nd2CBrF4 PBE relaxed; values from VASP
! * total energy: -6.220 eV/atom
&SYSTEM
  ibrav = 0, nat = 10, ntyp = 5
/
ATOMIC_SPECIES
La 138.91 La.upf
Nd 144.24 Nd.upf
C 12.01 C.upf
Br 79.90 Br.upf
F 19.00 F.upf
ATOMIC_POSITIONS crystal
La 0.196 0.196 0.185
La 0.804 0.804 0.815
Nd 0.494 0.494 0.788
Nd 0.506 0.506 0.212
C 0.000 0.000 0.000
Br 0.000 0.000 0.500
F 0.302 0.302 0.619
F 0.314 0.314 0.032
F 0.686 0.686 0.968
F 0.698 0.698 0.381
CELL_PARAMETERS angstrom
7.487 -1.942 0.000
7.487 1.942 0.000
-4.198 0.000 6.786

[13]
! Nd4CBr3F2 PBE relaxed; values from VASP
! * total energy: -5.624 eV/atom
&SYSTEM
  ibrav = 0, nat = 10, ntyp = 4
/
ATOMIC_SPECIES
Nd 144.24 Nd.upf
C 12.01 C.upf
Br 79.90 Br.upf
F 19.00 F.upf
ATOMIC_POSITIONS crystal
Nd 0.001 0.001 0.209
Nd 0.356 0.356 0.922
Nd 0.644 0.644 0.078
Nd 0.999 0.999 0.791
C 0.500 0.500 0.000
Br 0.173 0.173 0.815
Br 0.500 0.500 0.500
Br 0.827 0.827 0.185
F 0.144 0.144 0.255
F 0.856 0.856 0.745
CELL_PARAMETERS angstrom
8.766 -1.922 0.000
8.766 1.922 0.000
-1.551 0.000 8.079

[14]
! Nd4CBr2F3 PBE relaxed; values from VASP
! * total energy: -5.856 eV/atom
&SYSTEM
  ibrav = 0, nat = 10, ntyp = 4
/
ATOMIC_SPECIES
Nd 144.24 Nd.upf
C 12.01 C.upf
Br 79.90 Br.upf
F 19.00 F.upf
ATOMIC_POSITIONS crystal
Nd 0.006 0.006 0.246
Nd 0.353 0.353 0.914
Nd 0.647 0.647 0.086
Nd 0.994 0.994 0.754
C 0.500 0.500 0.000
Br 0.169 0.169 0.772
Br 0.831 0.831 0.228
F 0.149 0.149 0.304
F 0.500 0.500 0.500
F 0.851 0.851 0.696
CELL_PARAMETERS angstrom
8.725 -1.851 0.000
8.725 1.851 0.000
-1.690 0.000 6.997

[15]
! Nd4CBr4F PBE relaxed; values from VASP
! * total energy: -5.302 eV/atom
&SYSTEM
  ibrav = 0, nat = 10, ntyp = 4
/
ATOMIC_SPECIES
Nd 144.24 Nd.upf
C 12.01 C.upf
Br 79.90 Br.upf
F 19.00 F.upf
ATOMIC_POSITIONS crystal
Nd 0.004 0.004 0.270
Nd 0.360 0.360 0.421
Nd 0.640 0.640 0.579
Nd 0.996 0.996 0.730
C 0.500 0.500 0.500
Br 0.159 0.159 0.870
Br 0.174 0.174 0.312
Br 0.826 0.826 0.688
Br 0.841 0.841 0.130
F 0.500 0.500 0.000
CELL_PARAMETERS angstrom
9.139 -1.904 0.000
9.139 1.904 0.000
-1.513 0.000 7.612

[16]
! Nd4CBrF4 PBE relaxed; values from VASP
! * total energy: -6.147 eV/atom
&SYSTEM
  ibrav = 0, nat = 10, ntyp = 4
/
ATOMIC_SPECIES
Nd 144.24 Nd.upf
C 12.01 C.upf
Br 79.90 Br.upf
F 19.00 F.upf
ATOMIC_POSITIONS crystal
Nd 0.008 0.008 0.213
Nd 0.316 0.316 0.846
Nd 0.684 0.684 0.154
Nd 0.992 0.992 0.787
C 0.500 0.500 0.000
Br 0.500 0.500 0.500
F 0.180 0.180 0.951
F 0.198 0.198 0.347
F 0.802 0.802 0.653
F 0.820 0.820 0.049
CELL_PARAMETERS angstrom
7.533 -1.885 0.000
7.533 1.885 0.000
-3.995 0.000 7.170

[17]
! Pr2Nd2CBr4F PBE relaxed; values from VASP
! * total energy: -5.305 eV/atom
&SYSTEM
  ibrav = 0, nat = 10, ntyp = 5
/
ATOMIC_SPECIES
Pr 140.91 Pr.upf
Nd 144.24 Nd.upf
C 12.01 C.upf
Br 79.90 Br.upf
F 19.00 F.upf
ATOMIC_POSITIONS crystal
Pr 0.002 0.002 0.267
Pr 0.998 0.998 0.733
Nd 0.359 0.359 0.425
Nd 0.641 0.641 0.575
C 0.500 0.500 0.500
Br 0.164 0.164 0.867
Br 0.173 0.173 0.309
Br 0.827 0.827 0.691
Br 0.836 0.836 0.133
F 0.500 0.500 0.000
CELL_PARAMETERS angstrom
9.145 -1.914 0.000
9.145 1.914 0.000
-1.595 0.000 7.613

[18]
! Nd2Sm2C2BrF4 PBE relaxed; values from VASP
! * total energy: -6.455 eV/atom
&SYSTEM
  ibrav = 0, nat = 11, ntyp = 5
/
ATOMIC_SPECIES
Nd 144.24 Nd.upf
Sm 150.36 Sm.upf
C 12.01 C.upf
Br 79.90 Br.upf
F 19.00 F.upf
ATOMIC_POSITIONS crystal
Nd 0.002 0.002 0.204
Nd 0.998 0.998 0.796
Sm 0.286 0.286 0.796
Sm 0.714 0.714 0.204
C 0.447 0.447 0.947
C 0.553 0.553 0.053
Br 0.500 0.500 0.500
F 0.189 0.189 0.972
F 0.213 0.213 0.376
F 0.787 0.787 0.624
F 0.811 0.811 0.028
CELL_PARAMETERS angstrom
7.731 -1.936 0.000
7.731 1.936 0.000
-3.734 0.000 6.703

[19]
! Nd2Sm2C2Br2F3 PBE relaxed; values from VASP
! * total energy: -6.207 eV/atom
&SYSTEM
  ibrav = 0, nat = 11, ntyp = 5
/
ATOMIC_SPECIES
Nd 144.24 Nd.upf
Sm 150.36 Sm.upf
C 12.01 C.upf
Br 79.90 Br.upf
F 19.00 F.upf
ATOMIC_POSITIONS crystal
Nd 0.008 0.008 0.244
Nd 0.992 0.992 0.756
Sm 0.337 0.337 0.871
Sm 0.663 0.663 0.129
C 0.461 0.461 0.974
C 0.539 0.539 0.026
Br 0.163 0.163 0.791
Br 0.837 0.837 0.209
F 0.163 0.163 0.333
F 0.500 0.500 0.500
F 0.837 0.837 0.667
CELL_PARAMETERS angstrom
9.340 -1.861 0.000
9.340 1.861 0.000
-2.042 0.000 6.633

[20]
! Nd2Sm2C2Br3F2 PBE relaxed; values from VASP
! * total energy: -5.991 eV/atom
&SYSTEM
  ibrav = 0, nat = 11, ntyp = 5
/
ATOMIC_SPECIES
Nd 144.24 Nd.upf
Sm 150.36 Sm.upf
C 12.01 C.upf
Br 79.90 Br.upf
F 19.00 F.upf
ATOMIC_POSITIONS crystal
Nd 0.000 0.000 0.203
Nd 0.000 0.000 0.797
Sm 0.341 0.341 0.874
Sm 0.659 0.659 0.126
C 0.461 0.461 0.973
C 0.539 0.539 0.027
Br 0.169 0.169 0.842
Br 0.500 0.500 0.500
Br 0.831 0.831 0.158
F 0.157 0.157 0.288
F 0.843 0.843 0.712
CELL_PARAMETERS angstrom
9.424 -1.921 0.000
9.424 1.921 0.000
-2.009 0.000 7.730